Compound: CsErV2O8
Source: Alexandria
Functional: PBE+U
Structure: optimized geometry

The space group is P-3m1 (No. 164) and the conventional cell measures 5.9548, 5.9548 and 8.4466 Å, with angles of 90.00, 90.00 and 120.00 degrees. The asymmetric unit holds Cs at (0.0000, 0.0000, 0.0000), Er at (0.0000, 0.0000, 0.5000), V at (0.3333, 0.6667, 0.7234), O at (0.1727, 0.3454, 0.6577) and O at (0.3333, 0.6667, 0.9256).

The value obtained for the total DFT energy (no corrections) is -84.0 eV/cell.